CeFe3Cl9 | PBE | relaxed

a b c (Å): 10.0869 10.0869 13.0245
angles (deg): 124.47 124.47 53.21
Atoms (fractional coordinates):
Ce 0.2259 0.7741 0.5000
Ce 0.7741 0.2259 0.0000
Fe 0.0215 0.2695 0.8314
Fe 0.2695 0.0215 0.3314
Fe 0.2822 0.4266 0.6618
Fe 0.4266 0.2822 0.1618
Fe 0.6510 0.8047 0.2050
Fe 0.8047 0.6510 0.7050
Cl 0.0858 0.2052 0.2092
Cl 0.1012 0.9378 0.3307
Cl 0.1698 0.4308 0.0260
Cl 0.2052 0.0858 0.7092
Cl 0.2953 0.6615 0.6829
Cl 0.3819 0.4233 0.3609
Cl 0.4233 0.3819 0.8609
Cl 0.4308 0.1698 0.5260
Cl 0.4623 0.7709 0.2263
Cl 0.4880 0.9910 0.0877
Cl 0.5359 0.7782 0.5626
Cl 0.6615 0.2953 0.1829
Cl 0.7709 0.4623 0.7263
Cl 0.7782 0.5359 0.0626
Cl 0.8548 0.8698 0.9076
Cl 0.8698 0.8548 0.4076
Cl 0.9378 0.1012 0.8307
Cl 0.9910 0.4880 0.5877

M_tot ... 11.0 μB/f.u.
Space-group type ... Cc, No. 9
Volume ... 31.6 A^3/atom
Formation energy from raw total energies ... -14.58 eV/f.u.